VASP calculation (GGA-PBE) on YReAs3 after structural relaxation.

calculated density = 7.17 g/cm³
excess energy over the best structure of this formula in the dataset = 0.0 meV/atom
DOS at the Fermi energy = 5.48 states/eV/cell
space-group type = Pm-3m (221)
energy of formation = 0.1695 eV per atom

Lattice parameters (Å, degrees): 4.8740 4.8740 4.8740 90.00 90.00 90.00
Closest atoms and distances in Å follow each position.
Element x y z (fractional)
Re1 0.0000 0.0000 0.0000  6 As 2.44
As1 0.0000 0.0000 0.5000  2 Re 2.44
As2 0.0000 0.5000 0.0000  2 Re 2.44
As3 0.5000 0.0000 0.0000  2 Re 2.44
Y1 0.5000 0.5000 0.5000  12 As 3.45

---

VASP calculation (GGA-PBE) on YReAs2 after structural relaxation.

calculated density = 8.70 g/cm³
excess energy over the best structure of this formula in the dataset = 546.5 meV/atom
DOS at the Fermi energy = 3.54 states/eV/cell
space-group type = R3m (160)
energy of formation = 0.1255 eV per atom

Lattice parameters (Å, degrees): 8.9056 8.9056 8.9056 21.23 21.23 21.23
Closest atoms and distances in Å follow each position.
Element x y z (fractional)
Y1 0.7534 0.7534 0.7534  3 As 2.99, 3 Re 3.00, 6 Y 3.28
As1 0.9979 0.9979 0.9979  3 Y 2.99, 9 As 3.05-3.28
As2 0.2395 0.2395 0.2395  3 Re 2.52
Re1 0.5092 0.5092 0.5092  3 As 2.52

---

VASP calculation (GGA-PBE) on YReAs after structural relaxation.

calculated density = 10.08 g/cm³
excess energy over the best structure of this formula in the dataset = 350.6 meV/atom
DOS at the Fermi energy = 3.37 states/eV/cell
space-group type = I4mm (107)
energy of formation = -0.2440 eV per atom

Lattice parameters (Å, degrees): 5.8155 5.8154 3.2885 73.58 73.57 32.85
Closest atoms and distances in Å follow each position.
Element x y z (fractional)
Re1 0.3616 0.3616 0.6384  4 As 2.58
As1 0.9671 0.9671 0.0329  4 Re 2.58
Y1 0.6713 0.6713 0.3287  5 Re 3.09-3.30, 5 As 3.15-3.19, 4 Y 3.29

---

VASP calculation (GGA-PBE) on YReAs2 after structural relaxation.

calculated density = 8.41 g/cm³
excess energy over the best structure of this formula in the dataset = 71.0 meV/atom
DOS at the Fermi energy = 0.35 states/eV/cell
space-group type = Cm (8)
energy of formation = -0.3499 eV per atom

Lattice parameters (Å, degrees): 4.6072 4.6072 6.2404 71.08 71.08 42.52
Closest atoms and distances in Å follow each position.
Element x y z (fractional)
As1 0.9911 0.9911 0.9797  2 Re 2.58, 1 Y 2.86
As2 0.8007 0.8007 0.6212  3 Re 2.46-2.51
Y1 0.2077 0.2077 0.2395  3 As 2.86-2.93, 2 Re 3.10
Re1 0.5004 0.5004 0.6596  5 As 2.46-2.58

---

VASP calculation (GGA-PBE) on YReAs2 after structural relaxation.

calculated density = 8.82 g/cm³
excess energy over the best structure of this formula in the dataset = 123.0 meV/atom
DOS at the Fermi energy = 1.84 states/eV/cell
space-group type = P2/m (10)
energy of formation = -0.2980 eV per atom

Lattice parameters (Å, degrees): 4.2253 3.6363 5.2088 89.37 90.00 90.00
Closest atoms and distances in Å follow each position.
Element x y z (fractional)
As1 0.0000 0.2659 0.5084  2 Re 2.51, 2 As 2.52-2.70
As2 0.0000 0.2341 0.9916  2 Re 2.51, 2 As 2.52-2.70
Re1 0.5000 0.2500 0.2500  4 As 2.51
Y1 0.5000 0.7500 0.7500  8 As 3.03-3.08, 4 Re 3.16-3.19

---

VASP calculation (GGA-PBE) on YReAs after structural relaxation.

calculated density = 8.82 g/cm³
excess energy over the best structure of this formula in the dataset = 310.2 meV/atom
DOS at the Fermi energy = 9.27 states/eV/cell
space-group type = Cm (8)
energy of formation = -0.2845 eV per atom

Lattice parameters (Å, degrees): 4.4000 3.9073 15.9277 90.00 105.81 90.00
Closest atoms and distances in Å follow each position.
Element x y z (fractional)
Y1 0.6294 0.0000 0.0874  8 Re 3.07-3.29, 4 As 3.16-3.21
Y2 0.8643 0.5000 0.3243  8 As 3.21-3.34, 4 Re 3.22-3.54
Y3 0.6294 0.5000 0.5874  8 Re 3.07-3.29, 4 As 3.16-3.21
Y4 0.8643 0.0000 0.8243  8 As 3.21-3.34, 4 Re 3.22-3.54
As1 0.4694 0.0000 0.4254  2 Re 2.42
As2 0.2791 0.0000 0.2397  2 Re 2.45
As3 0.2791 0.5000 0.7397  2 Re 2.45
As4 0.4694 0.5000 0.9254  2 Re 2.42
Re1 0.0344 0.5000 0.9912  1 Re 2.34, 2 As 2.42
Re2 0.1848 0.5000 0.1438  1 Re 2.34, 2 As 2.45
Re3 0.0344 0.0000 0.4912  1 Re 2.34, 2 As 2.42
Re4 0.1848 0.0000 0.6438  1 Re 2.34, 2 As 2.45